Entry from the Alexandria database: a relaxed structure of Ir4Rh5W (PBE-GGA).

Cell: 5.4665 7.2326 4.7383 Å, 89.94 73.17 55.53°
Closest atoms and distances in Å follow each position.
Element x y z (fractional)
Ir 0.8984 0.6022 0.8016  1 W 2.72, 5 Ir 2.72-2.76, 6 Rh 2.72-2.78
Ir 0.4961 0.2008 0.5998  4 Ir 2.70-2.74, 6 Rh 2.72-2.74, 2 W 2.73-2.75
Ir 0.5988 0.8057 0.3966  1 W 2.68, 7 Rh 2.70-2.79, 4 Ir 2.70-2.76
Ir 0.1969 0.4028 0.1984  6 Rh 2.70-2.78, 5 Ir 2.72-2.75, 1 W 2.75
Rh 0.3999 0.5978 0.8019  5 Ir 2.70-2.79, 6 Rh 2.74-2.75, 1 W 2.74
Rh 0.0024 0.1938 0.6018  5 Ir 2.70-2.78, 6 Rh 2.70-2.75, 1 W 2.71
Rh 0.0970 0.8007 0.4011  5 Rh 2.70-2.76, 5 Ir 2.71-2.76, 2 W 2.73-2.74
Rh 0.7021 0.3972 0.2002  6 Rh 2.72-2.76, 5 Ir 2.73-2.78, 1 W 2.73
Rh 0.2993 0.9998 0.9971  5 Rh 2.70-2.75, 5 Ir 2.72-2.75, 2 W 2.73
W 0.7988 0.9991 0.0014  5 Ir 2.68-2.75, 7 Rh 2.71-2.74

Computed properties:
- Total magnetization: 0.000 μB per atom
- Electronic total energy: -86.2 eV for the cell shown
- Energy of formation: -10.39 kJ per mole of atoms